(1)
Entry from Alexandria via LeMat-Bulk: a geometry-optimized LaPm4Er2Tm structure (PBE-GGA).

Values from the calculation:
Calculated density: 7.66 g/cm³
Energy relative to the elements: 21 meV per atom

Cell lengths 6.225, 3.622, 11.932 Å; angles 90.00, 100.12, 90.00 degrees
Atoms (fractional coordinates):
La (0.000, 0.000, 0.000)
Pm (0.250, 0.000, 0.748)
Pm (0.252, 0.500, 0.255)
Pm (0.748, 0.500, 0.745)
Pm (0.750, 0.000, 0.252)
Er (0.000, 0.500, 0.500)
Er (0.500, 0.000, 0.500)
Tm (0.500, 0.500, 0.000)

---

(2)
Entry from Alexandria via LeMat-Bulk: a geometry-optimized ErZr5In6 structure (PBE-GGA).

Values from the calculation:
Calculated density: 8.00 g/cm³
Energy relative to the elements: -320 meV per atom

Cell lengths 8.410, 8.410, 8.410 Å; angles 148.77, 116.30, 72.66 degrees
Atoms (fractional coordinates):
Er (0.000, 0.000, 0.000)
Zr (0.171, 0.671, 0.500)
Zr (0.334, 0.334, 0.000)
Zr (0.500, 0.000, 0.500)
Zr (0.666, 0.666, 0.000)
Zr (0.829, 0.329, 0.500)
In (0.084, 0.832, 0.251)
In (0.253, 0.500, 0.753)
In (0.419, 0.168, 0.251)
In (0.581, 0.832, 0.749)
In (0.747, 0.500, 0.247)
In (0.916, 0.168, 0.749)